An optimized crystal structure of Ba2CdSb. Source: Alexandria, functional PBE.

a b c (Å): 5.955 5.955 5.955
angles (deg): 60.00 60.00 60.00
Atoms (fractional coordinates):
Ba 0.000 0.000 0.000
Ba 0.250 0.250 0.250
Cd 0.500 0.500 0.500
Sb 0.750 0.750 0.750

Output
* formation energy without anion corrections: -0.282 eV per atom
* space-group type: No. 216
* size of the total moment: 0.0 μB/cell
* E_tot: -2.503 eV/atom